Record 1
VASP calculation (PBE) on crystalline Pu2Fe3Ge2 at its relaxed geometry.

Summary:
Its space-group type is I2_13 (199).

```
14
Lattice="-3.952 3.952 3.952 3.952 -3.952 3.952 3.952 3.952 -3.952" Properties=species:S:1:pos:R:3 pbc="T T T"
Pu 3.933 0.018 -0.018
Pu 0.018 0.018 0.018
Pu 0.018 -0.018 3.933
Pu -0.018 3.933 0.018
Fe 3.952 1.976 -1.774
Fe 1.976 1.774 0.000
Fe 1.774 0.000 1.976
Fe 1.976 -1.774 3.952
Fe 0.000 1.976 1.774
Fe -1.774 3.952 1.976
Ge 5.569 -1.618 1.618
Ge 1.618 5.569 -1.618
Ge 2.334 2.334 2.334
Ge -1.618 1.618 5.569
```


Record 2
VASP calculation (PBE) on crystalline PuFeGe2 at its relaxed geometry.

Summary:
Its space-group type is R-3m (166).

```
12
Lattice="4.129 0.000 0.000 -2.065 3.576 0.000 0.000 0.000 14.703" Properties=species:S:1:pos:R:3 pbc="T T T"
Pu 0.000 0.000 0.000
Pu 0.000 2.384 9.802
Pu 2.065 1.192 4.901
Fe 0.000 0.000 7.352
Fe 0.000 2.384 2.451
Fe 2.065 1.192 12.253
Ge 0.000 0.000 3.210
Ge 0.000 0.000 11.493
Ge 0.000 2.384 6.592
Ge 0.000 2.384 13.012
Ge 2.065 1.192 1.691
Ge 2.065 1.192 8.111
```


Record 3
VASP calculation (PBE) on crystalline Pu2Fe2Ge3 at its relaxed geometry.

Summary:
Its space-group type is Cmmm (65).

```
14
Lattice="3.909 0.000 0.000 0.000 22.161 0.000 0.000 0.000 2.466" Properties=species:S:1:pos:R:3 pbc="T T T"
Pu 0.000 1.918 0.000
Pu 0.000 20.243 0.000
Pu 1.955 9.163 0.000
Pu 1.955 12.998 0.000
Fe 0.000 4.946 0.000
Fe 0.000 17.215 0.000
Fe 1.955 6.134 0.000
Fe 1.955 16.027 0.000
Ge 0.000 7.262 1.233
Ge 0.000 11.081 1.233
Ge 0.000 14.900 1.233
Ge 1.955 0.000 1.233
Ge 1.955 3.819 1.233
Ge 1.955 18.342 1.233
```


Record 4
VASP calculation (PBE) on crystalline Pu3Fe4Ge4 at its relaxed geometry.

Summary:
Its space-group type is I-43m (217).

```
11
Lattice="-3.642 3.642 3.642 3.642 -3.642 3.642 3.642 3.642 -3.642" Properties=species:S:1:pos:R:3 pbc="T T T"
Pu 3.642 0.000 0.000
Pu 0.000 3.642 0.000
Pu 0.000 0.000 3.642
Fe 0.869 0.869 -0.869
Fe 0.869 -0.869 0.869
Fe -0.869 0.869 0.869
Fe 2.773 2.773 2.773
Ge 2.201 2.201 -2.201
Ge 2.201 -2.201 2.201
Ge 1.440 1.440 1.440
Ge -2.201 2.201 2.201
```


Record 5
VASP calculation (PBE) on crystalline PuFeGe2 at its relaxed geometry.

Summary:
Its space-group type is Cmmm (65).

```
16
Lattice="4.126 0.000 0.000 0.000 17.194 0.000 0.000 0.000 4.103" Properties=species:S:1:pos:R:3 pbc="T T T"
Pu 0.000 2.450 0.000
Pu 0.000 14.744 0.000
Pu 2.063 6.147 0.000
Pu 2.063 11.047 0.000
Fe 0.000 7.350 2.051
Fe 0.000 9.845 2.051
Fe 2.063 1.247 2.051
Fe 2.063 15.947 2.051
Ge 0.000 0.000 2.051
Ge 0.000 5.013 2.051
Ge 0.000 8.597 0.000
Ge 0.000 12.181 2.051
Ge 2.063 0.000 0.000
Ge 2.063 3.584 2.051
Ge 2.063 8.597 2.051
Ge 2.063 13.610 2.051
```


Record 6
VASP calculation (PBE) on crystalline PuFe2Ge at its relaxed geometry.

Summary:
Its space-group type is Pmma (51).

```
8
Lattice="4.967 0.000 0.000 0.000 4.021 0.000 0.000 0.000 6.548" Properties=species:S:1:pos:R:3 pbc="T T T"
Pu 1.242 0.000 1.204
Pu 3.725 0.000 5.344
Fe 0.000 2.010 3.274
Fe 1.242 0.000 3.941
Fe 2.483 2.010 3.274
Fe 3.725 0.000 2.607
Ge 1.242 2.010 5.433
Ge 3.725 2.010 1.115
```


Record 7
VASP calculation (PBE) on crystalline PuFeGe2 at its relaxed geometry.

Summary:
Its space-group type is P4/mmm (123).

```
4
Lattice="3.115 0.000 0.000 0.000 3.115 0.000 0.000 0.000 6.911" Properties=species:S:1:pos:R:3 pbc="T T T"
Pu 0.000 0.000 0.000
Fe 0.000 0.000 3.456
Ge 1.557 1.557 2.113
Ge 1.557 1.557 4.798
```


Record 8
VASP calculation (PBE) on crystalline Pu3Fe3Ge at its relaxed geometry.

Summary:
Its space-group type is P6_3/m (176).

```
14
Lattice="8.249 0.000 0.000 -4.124 7.144 0.000 0.000 0.000 4.334" Properties=species:S:1:pos:R:3 pbc="T T T"
Pu -2.162 4.680 1.084
Pu 1.153 2.931 1.084
Pu 3.115 0.467 3.251
Pu 1.010 6.677 1.084
Pu 2.972 4.213 3.251
Pu 6.287 2.464 3.251
Fe -3.325 5.910 3.251
Fe 0.669 1.310 3.251
Fe 1.468 0.076 1.084
Fe 2.656 7.068 3.251
Fe 3.456 5.834 1.084
Fe 7.449 1.234 1.084
Ge 0.000 4.763 3.251
Ge 4.124 2.381 1.084
```


Record 9
VASP calculation (PBE) on crystalline Pu3FeGe2 at its relaxed geometry.

Summary:
Its space-group type is Pnma (62).

```
24
Lattice="11.966 0.000 0.000 0.000 4.341 0.000 0.000 0.000 9.736" Properties=species:S:1:pos:R:3 pbc="T T T"
Pu 0.571 1.085 0.986
Pu 1.596 3.256 5.482
Pu 2.941 1.085 7.521
Pu 3.042 3.256 2.653
Pu 4.387 1.085 0.614
Pu 5.412 3.256 5.853
Pu 6.554 1.085 3.882
Pu 7.580 3.256 9.122
Pu 8.924 1.085 7.083
Pu 9.025 3.256 2.215
Pu 10.370 1.085 4.254
Pu 11.395 3.256 8.750
Fe 1.283 1.085 3.461
Fe 4.700 3.256 8.329
Fe 7.266 1.085 1.407
Fe 10.683 3.256 6.275
Ge 0.026 3.256 2.958
Ge 2.385 3.256 9.438
Ge 3.598 1.085 4.570
Ge 5.958 1.085 7.826
Ge 6.009 3.256 1.910
Ge 8.369 3.256 5.166
Ge 9.581 1.085 0.298
Ge 11.941 1.085 6.778
```


Record 10
VASP calculation (PBE) on crystalline PuFe2Ge at its relaxed geometry.

Summary:
Its space-group type is P4/mmm (123).

```
4
Lattice="4.253 0.000 0.000 0.000 4.253 0.000 0.000 0.000 3.434" Properties=species:S:1:pos:R:3 pbc="T T T"
Pu 0.000 0.000 0.000
Fe 0.000 2.127 1.717
Fe 2.127 0.000 1.717
Ge 2.127 2.127 0.000
```


In the order shown, the computed theoretical density values come out to 10.77 10.21 12.71 10.71 10.16 10.88 11.02 12.64 12.26 11.45 g cm⁻³.
In the order shown, the computed ΔH_f (0 K) values come out to -0.093 -0.293 0.214 -0.303 -0.330 -0.291 -0.190 -0.109 -0.378 -0.007 eV per atom.
In the order shown, the computed N(E_F) values come out to 1.490 2.741 2.107 2.208 2.589 1.819 1.517 2.166 2.827 1.672 states/eV/atom.